# 1
Computed, not measured: a PBEsol-optimized structure of Sr2In2Sn at the SCAN level of DFT.

a = 7.566 Å, b = 7.566 Å, c = 7.566 Å
α = 140.25°, β = 140.25°, γ = 57.47°
Sites, in units of the cell vectors:
Sr 0.250 0.750 0.500
Sr 0.750 0.250 0.500
In 0.098 0.098 0.000
In 0.902 0.902 0.000
Sn 0.500 0.500 0.000

Values from the calculation:
- energy of formation (meV/atom) = -58.4
- raw total energy (Ry/atom) = -2.1687
- symmetry = I4/mmm (139)
- spin magnetization (Bohr magnetons per cell) = 0.0

# 2
Computed, not measured: a PBEsol-optimized structure of Fe2SiW at the SCAN level of DFT.

a = 8.012 Å, b = 8.012 Å, c = 8.012 Å
α = 19.11°, β = 19.11°, γ = 19.11°
Sites, in units of the cell vectors:
Fe 0.244 0.244 0.244
Fe 0.756 0.756 0.756
Si 0.500 0.500 0.500
W 0.000 0.000 0.000

Values from the calculation:
- raw total energy (Ry/atom) = -2.1182
- symmetry = R-3m (166)
- E_form (uncorrected) (eV/atom) = 0.172
- spin magnetization (Bohr magnetons per cell) = 3.0

# 3
Computed, not measured: a PBEsol-optimized structure of Li4NbCo3O8 at the SCAN level of DFT.

a = 5.848 Å, b = 5.848 Å, c = 5.907 Å
α = 119.88°, β = 119.88°, γ = 57.48°
Sites, in units of the cell vectors:
Li 0.000 0.000 0.000
Li 0.000 0.500 0.000
Li 0.500 0.000 0.000
Li 0.500 0.500 0.000
Nb 0.000 0.000 0.500
Co 0.000 0.500 0.500
Co 0.500 0.000 0.500
Co 0.500 0.500 0.500
O 0.241 0.241 0.745
O 0.256 0.741 0.257
O 0.259 0.744 0.743
O 0.272 0.272 0.290
O 0.728 0.728 0.710
O 0.741 0.256 0.257
O 0.744 0.259 0.743
O 0.759 0.759 0.255

Values from the calculation:
- raw total energy (Ry/atom) = -0.8082
- symmetry = C2/m (12)
- offset from the most stable computed form (eV/f.u.) = 0.000
- E_form (uncorrected) (eV/atom) = -1.968
- spin magnetization (Bohr magnetons per cell) = 6.0

# 4
Computed, not measured: a PBEsol-optimized structure of K2OsRu at the SCAN level of DFT.

a = 3.701 Å, b = 3.701 Å, c = 5.570 Å
α = 90.00°, β = 90.00°, γ = 90.00°
Sites, in units of the cell vectors:
K 0.000 0.500 0.000
K 0.500 0.000 0.000
Os 0.000 0.000 0.500
Ru 0.500 0.500 0.500

Values from the calculation:
- energy of formation (meV/atom) = 1318.6
- raw total energy (Ry/atom) = -2.1699
- symmetry = P4/mmm (123)
- offset from the most stable computed form (eV/f.u.) = 2.666
- spin magnetization (Bohr magnetons per cell) = 0.0

# 5
Computed, not measured: a PBEsol-optimized structure of VPO5 at the SCAN level of DFT.

a = 4.968 Å, b = 10.286 Å, c = 7.192 Å
α = 90.00°, β = 113.87°, γ = 90.00°
Sites, in units of the cell vectors:
V 0.076 0.074 0.174
V 0.076 0.426 0.674
V 0.924 0.574 0.326
V 0.924 0.926 0.826
P 0.286 0.650 0.028
P 0.286 0.850 0.528
P 0.714 0.150 0.472
P 0.714 0.350 0.972
O 0.134 0.717 0.457
O 0.134 0.783 0.957
O 0.155 0.581 0.158
O 0.155 0.919 0.658
O 0.225 0.043 0.003
O 0.225 0.457 0.503
O 0.256 0.572 0.837
O 0.256 0.928 0.337
O 0.381 0.177 0.350
O 0.381 0.323 0.850
O 0.619 0.677 0.150
O 0.619 0.823 0.650
O 0.744 0.072 0.663
O 0.744 0.428 0.163
O 0.775 0.543 0.497
O 0.775 0.957 0.997
O 0.845 0.081 0.342
O 0.845 0.419 0.842
O 0.866 0.217 0.043
O 0.866 0.283 0.543

Values from the calculation:
- raw total energy (Ry/atom) = -0.7963
- symmetry = P2_1/c (14)
- offset from the most stable computed form (eV/f.u.) = 0.551
- E_form (uncorrected) (eV/atom) = -2.400
- spin magnetization (Bohr magnetons per cell) = 0.0

# 6
Computed, not measured: a PBEsol-optimized structure of In2SiOs at the SCAN level of DFT.

a = 5.375 Å, b = 5.375 Å, c = 3.210 Å
α = 104.53°, β = 104.53°, γ = 118.24°
Sites, in units of the cell vectors:
In 0.000 0.500 0.000
In 0.500 0.000 0.000
Si 0.000 0.000 0.500
Os 0.500 0.500 0.500

Values from the calculation:
- raw total energy (Ry/atom) = -2.6770
- symmetry = C2/m (12)
- E_form (uncorrected) (eV/atom) = 0.745
- spin magnetization (Bohr magnetons per cell) = 0.0

# 7
Computed, not measured: a PBEsol-optimized structure of FeMo2Se at the SCAN level of DFT.

a = 2.891 Å, b = 2.891 Å, c = 6.562 Å
α = 90.00°, β = 90.00°, γ = 90.00°
Sites, in units of the cell vectors:
Fe 0.000 0.000 0.000
Mo 0.500 0.500 0.245
Mo 0.500 0.500 0.755
Se 0.000 0.000 0.500

Values from the calculation:
- raw total energy (Ry/atom) = -1.9619
- symmetry = P4/mmm (123)
- E_form (uncorrected) (eV/atom) = 0.301
- spin magnetization (Bohr magnetons per cell) = 0.0

# 8
Computed, not measured: a PBEsol-optimized structure of K3PdF at the SCAN level of DFT.

a = 5.128 Å, b = 5.128 Å, c = 5.128 Å
α = 90.00°, β = 90.00°, γ = 90.00°
Sites, in units of the cell vectors:
K 0.000 0.000 0.500
K 0.000 0.500 0.000
K 0.500 0.000 0.000
Pd 0.500 0.500 0.500
F 0.000 0.000 0.000

Values from the calculation:
- raw total energy (Ry/atom) = -0.9838
- symmetry = Pm-3m (221)
- E_form (uncorrected) (eV/atom) = -1.125
- spin magnetization (Bohr magnetons per cell) = 0.1